(1)
# GGA-PBE CuPbBr4, relaxed
data_CuPbBr4
_space_group_name_H-M_alt 'P 1'
_space_group_IT_number 1
_space_group_name_Hall 'P 1'
_cell_length_a 6.332
_cell_length_b 6.332
_cell_length_c 6.332
_cell_angle_alpha 60.00
_cell_angle_beta 60.00
_cell_angle_gamma 60.00
loop_
_atom_site_label
_atom_site_type_symbol
_atom_site_fract_x
_atom_site_fract_y
_atom_site_fract_z
_atom_site_occupancy
Cu1 Cu 0.000 0.000 0.000 1
Pb1 Pb 0.750 0.750 0.750 1
Br1 Br 0.374 0.374 0.374 1
Br2 Br 0.374 0.374 0.878 1
Br3 Br 0.374 0.878 0.374 1
Br4 Br 0.878 0.374 0.374 1
# Offset from the most stable computed form in eV per atom: 1.095
# ΔE_f (raw) in eV/atom: 0.560

(2)
# GGA-PBE Cs2BaLa2, relaxed
data_Cs2BaLa2
_space_group_name_H-M_alt 'P 1'
_space_group_IT_number 1
_space_group_name_Hall 'P 1'
_cell_length_a 8.944
_cell_length_b 8.944
_cell_length_c 8.944
_cell_angle_alpha 142.99
_cell_angle_beta 142.99
_cell_angle_gamma 53.34
loop_
_atom_site_label
_atom_site_type_symbol
_atom_site_fract_x
_atom_site_fract_y
_atom_site_fract_z
_atom_site_occupancy
Cs1 Cs 0.114 0.114 0.000 1
Cs2 Cs 0.886 0.886 0.000 1
Ba1 Ba 0.500 0.500 0.000 1
La1 La 0.250 0.750 0.500 1
La2 La 0.750 0.250 0.500 1
# Formation enthalpy at 0 K in meV/atom: 710.5

| no. | raw total energy (Ha/atom) |
| --- | --- |
| 1 | -0.068 |
| 2 | -0.073 |